The following is a GGA-PBEsol calculation of an optimized crystal structure of Sn3PtI, from the Alexandria database.

Calculated values
As for the space group: No. 221. The value obtained for the theoretical density is 6.360 g/cm³. The energy relative to the elements, uncorrected is 1.423 eV/atom. As for the total magnetization: 0.000 μB per atom.

Cell lengths 5.6153, 5.6153, 5.6153 Å; angles 90.00, 90.00, 90.00 degrees
Last column: nearest neighbours and their distance in Å.
Atoms (fractional coordinates):
1 Sn 0.0000 0.0000 0.5000  2 I 2.81
2 Sn 0.0000 0.5000 0.0000  2 I 2.81
3 Sn 0.5000 0.0000 0.0000  2 I 2.81
4 Pt 0.5000 0.5000 0.5000  12 Sn 3.97
5 I 0.0000 0.0000 0.0000  6 Sn 2.81